Entry 1:
The following is a PBE-GGA calculation of crystalline YAl4In at its relaxed geometry, from Alexandria.

Cell lengths 5.5711, 5.5711, 5.5711 Å; angles 60.00, 60.00, 60.00 degrees
With the nearest neighbours (Å) after each atom.
Sites, in units of the cell vectors:
1 Y 0.0000 0.0000 0.0000  12 Al 3.27, 4 In 3.41
2 Al 0.1264 0.6245 0.6245  6 Al 2.77-2.80
3 Al 0.6245 0.1264 0.6245  6 Al 2.77-2.80
4 Al 0.6245 0.6245 0.1264  6 Al 2.77-2.80
5 Al 0.6245 0.6245 0.6245  6 Al 2.77-2.80
6 In 0.2500 0.2500 0.2500  12 Al 3.27, 4 Y 3.41

Summary:
* formation energy from the elements: -0.19 eV/atom
* space-group type: No. 216

***

Entry 2:
The following is a PBE-GGA calculation of crystalline Y4Al2In at its relaxed geometry, from Alexandria.

Cell lengths 8.2600, 8.2600, 8.2600 Å; angles 140.13, 140.13, 57.65 degrees
With the nearest neighbours (Å) after each atom.
Sites, in units of the cell vectors:
1 Y 0.0000 0.5000 0.5000  2 In 2.82
2 Y 0.2014 0.2014 0.0000  1 Al 2.90, 1 In 2.91
3 Y 0.5000 0.0000 0.5000  2 In 2.82
4 Y 0.7986 0.7986 0.0000  1 Al 2.90, 1 In 2.91
5 Al 0.4017 0.4017 0.0000  1 Al 2.85, 5 Y 2.90-3.16
6 Al 0.5983 0.5983 0.0000  1 Al 2.85, 5 Y 2.90-3.16
7 In 0.0000 0.0000 0.0000  6 Y 2.82-2.91

Summary:
* polymorph energy (0 for the lowest one): 474 meV/atom
* formation energy from the elements: 0.18 eV/atom
* space-group type: No. 139

***

Entry 3:
The following is a PBE-GGA calculation of crystalline Y7Al2In2 at its relaxed geometry, from Alexandria.

Cell lengths 6.8320, 6.8320, 7.6277 Å; angles 90.00, 90.00, 110.38 degrees
With the nearest neighbours (Å) after each atom.
Sites, in units of the cell vectors:
1 Y 0.0000 0.0000 0.0000  2 Al 3.21
2 Y 0.0000 0.5000 0.2807  2 Al 2.92
3 Y 0.0000 0.5000 0.7193  2 Al 2.92
4 Y 0.5000 0.0000 0.2807  2 Al 2.92
5 Y 0.5000 0.0000 0.7193  2 Al 2.92
6 Y 0.5000 0.5000 0.2473  2 Al 3.05, 2 In 3.15
7 Y 0.5000 0.5000 0.7527  2 Al 3.05, 2 In 3.15
8 Al 0.2863 0.7137 0.0000  7 Y 2.92-3.21
9 Al 0.7137 0.2863 0.0000  7 Y 2.92-3.21
10 In 0.1812 0.1812 0.5000  1 In 2.83, 2 Y 3.15
11 In 0.8188 0.8188 0.5000  1 In 2.83, 2 Y 3.15

Summary:
* formation energy from the elements: -0.10 eV/atom
* space-group type: No. 65

***

Entry 4:
The following is a PBE-GGA calculation of crystalline Y2Al3In3 at its relaxed geometry, from Alexandria.

Cell lengths 4.4720, 4.4979, 8.8350 Å; angles 90.00, 90.00, 90.00 degrees
With the nearest neighbours (Å) after each atom.
Sites, in units of the cell vectors:
1 Y 0.0000 0.0000 0.2430  6 Al 3.10-3.19, 6 In 3.17-3.20
2 Y 0.0000 0.0000 0.7570  6 Al 3.10-3.19, 6 In 3.17-3.20
3 Al 0.0000 0.5000 0.0000  4 In 3.07, 4 Y 3.11, 4 Al 3.17
4 Al 0.5000 0.0000 0.0000  4 In 3.08, 4 Y 3.10, 4 Al 3.17
5 Al 0.5000 0.0000 0.5000  8 In 3.17-3.23, 4 Y 3.19
6 In 0.0000 0.5000 0.5000  4 Al 3.17, 4 Y 3.20, 4 In 3.22
7 In 0.5000 0.5000 0.2379  6 Al 3.07-3.23, 4 Y 3.17, 2 In 3.22
8 In 0.5000 0.5000 0.7621  6 Al 3.07-3.23, 4 Y 3.17, 2 In 3.22

Summary:
* formation energy from the elements: -0.38 eV/atom
* space-group type: No. 47

***

Entry 5:
The following is a PBE-GGA calculation of crystalline Y6Al2In at its relaxed geometry, from Alexandria.

Cell lengths 8.7413, 8.7413, 8.7413 Å; angles 112.56, 111.56, 104.41 degrees
With the nearest neighbours (Å) after each atom.
Sites, in units of the cell vectors:
1 Y 0.0272 0.8205 0.2067  3 Al 2.95-3.13
2 Y 0.2425 0.5414 0.2989  2 Al 3.00-3.25, 1 In 3.25
3 Y 0.2425 0.9436 0.7011  2 Al 3.00-3.25, 1 In 3.25
4 Y 0.2754 0.3157 0.5911  3 Al 3.12-3.18, 1 In 3.25
5 Y 0.2754 0.6843 0.9598  3 Al 3.12-3.18, 1 In 3.25
6 Y 0.3862 0.1795 0.2067  3 Al 2.95-3.13
7 Y 0.6138 0.8205 0.7933  3 Al 2.95-3.13
8 Y 0.7246 0.3157 0.0402  3 Al 3.12-3.18, 1 In 3.25
9 Y 0.7246 0.6843 0.4089  3 Al 3.12-3.18, 1 In 3.25
10 Y 0.7575 0.0564 0.2989  2 Al 3.00-3.25, 1 In 3.25
11 Y 0.7575 0.4586 0.7011  2 Al 3.00-3.25, 1 In 3.25
12 Y 0.9728 0.1795 0.7933  3 Al 2.95-3.13
13 Al 0.0000 0.1435 0.1435  1 Al 2.78, 2 Y 3.00
14 Al 0.0000 0.8565 0.8565  1 Al 2.78, 2 Y 3.00
15 Al 0.3790 0.3790 0.0000  1 Al 2.59
16 Al 0.6210 0.6210 0.0000  1 Al 2.59
17 In 0.0000 0.5000 0.5000  8 Y 3.25, 2 Al 3.46
18 In 0.5000 0.0000 0.5000  12 Y 3.38-3.78

Summary:
* formation energy from the elements: -0.34 eV/atom
* space-group type: No. 71

***

Entry 6:
The following is a PBE-GGA calculation of crystalline YAlIn at its relaxed geometry, from Alexandria.

Cell lengths 6.4728, 6.4218, 3.4636 Å; angles 75.23, 73.61, 31.16 degrees
With the nearest neighbours (Å) after each atom.
Sites, in units of the cell vectors:
1 Y 0.0000 0.0000 0.0000  4 Al 3.09-3.19, 4 In 3.30-3.40
2 Al 0.3355 0.3355 0.6645  4 In 2.93-3.04, 4 Y 3.09-3.19
3 In 0.6918 0.6918 0.3082  4 Al 2.93-3.04

Summary:
* formation energy from the elements: -0.23 eV/atom
* space-group type: No. 42

***

Entry 7:
The following is a PBE-GGA calculation of crystalline Y5Al3In at its relaxed geometry, from Alexandria.

Cell lengths 9.0897, 9.0897, 6.5283 Å; angles 90.00, 90.00, 120.00 degrees
With the nearest neighbours (Å) after each atom.
Sites, in units of the cell vectors:
1 Y 0.0000 0.2966 0.2500  5 Al 3.06-3.33, 2 In 3.15
2 Y 0.0000 0.7034 0.7500  5 Al 3.06-3.33, 2 In 3.15
3 Y 0.2966 0.0000 0.2500  5 Al 3.06-3.33, 2 In 3.15
4 Y 0.2966 0.2966 0.7500  5 Al 3.06-3.33, 2 In 3.15
5 Y 0.3333 0.6667 0.0000  8 Y 3.26-3.60, 6 Al 3.32
6 Y 0.3333 0.6667 0.5000  8 Y 3.26-3.60, 6 Al 3.32
7 Y 0.6667 0.3333 0.0000  8 Y 3.26-3.60, 6 Al 3.32
8 Y 0.6667 0.3333 0.5000  8 Y 3.26-3.60, 6 Al 3.32
9 Y 0.7034 0.0000 0.7500  5 Al 3.06-3.33, 2 In 3.15
10 Y 0.7034 0.7034 0.2500  5 Al 3.06-3.33, 2 In 3.15
11 Al 0.0000 0.3673 0.7500  9 Y 3.06-3.33
12 Al 0.0000 0.6327 0.2500  9 Y 3.06-3.33
13 Al 0.3673 0.0000 0.7500  9 Y 3.06-3.33
14 Al 0.3673 0.3673 0.2500  9 Y 3.06-3.33
15 Al 0.6327 0.0000 0.2500  9 Y 3.06-3.33
16 Al 0.6327 0.6327 0.7500  9 Y 3.06-3.33
17 In 0.0000 0.0000 0.0000  6 Y 3.15, 2 In 3.26
18 In 0.0000 0.0000 0.5000  6 Y 3.15, 2 In 3.26

Summary:
* formation energy from the elements: -0.36 eV/atom
* space-group type: No. 193

***

Entry 8:
The following is a PBE-GGA calculation of crystalline Y3Al4In2 at its relaxed geometry, from Alexandria.

Cell lengths 5.8808, 5.8808, 8.8202 Å; angles 112.97, 112.97, 47.02 degrees
With the nearest neighbours (Å) after each atom.
Sites, in units of the cell vectors:
1 Y 0.0000 0.0000 0.0000  8 Al 3.12-3.32, 4 In 3.25
2 Y 0.3351 0.3351 0.3308  8 Al 3.17-3.34, 4 In 3.22-3.25, 1 Y 3.54
3 Y 0.6649 0.6649 0.6692  8 Al 3.17-3.34, 4 In 3.22-3.25, 1 Y 3.54
4 Al 0.0470 0.0470 0.3856  1 Al 2.62, 2 In 2.74
5 Al 0.2661 0.2661 0.9418  2 Al 2.64, 1 In 2.75
6 Al 0.7339 0.7339 0.0582  2 Al 2.64, 1 In 2.75
7 Al 0.9530 0.9530 0.6144  1 Al 2.62, 2 In 2.74
8 In 0.3836 0.3836 0.7199  3 Al 2.74-2.75
9 In 0.6164 0.6164 0.2801  3 Al 2.74-2.75

Summary:
* formation energy from the elements: -0.46 eV/atom
* space-group type: No. 12

***

Entry 9:
The following is a PBE-GGA calculation of crystalline YAl3In at its relaxed geometry, from Alexandria.

Cell lengths 5.6164, 5.6164, 5.6164 Å; angles 90.00, 90.00, 90.00 degrees
With the nearest neighbours (Å) after each atom.
Sites, in units of the cell vectors:
1 Y 0.0000 0.0000 0.0000  6 Al 2.81
2 Al 0.0000 0.0000 0.5000  2 Y 2.81
3 Al 0.0000 0.5000 0.0000  2 Y 2.81
4 Al 0.5000 0.0000 0.0000  2 Y 2.81
5 In 0.5000 0.5000 0.5000  12 Al 3.97

Summary:
* polymorph energy (0 for the lowest one): 376 meV/atom
* formation energy from the elements: 0.97 eV/atom
* space-group type: No. 221

***

Entry 10:
The following is a PBE-GGA calculation of crystalline YAlIn at its relaxed geometry, from Alexandria.

Cell lengths 3.3830, 3.3830, 7.5340 Å; angles 90.00, 90.00, 120.00 degrees
With the nearest neighbours (Å) after each atom.
Sites, in units of the cell vectors:
1 Y 0.0000 0.0000 0.0000  3 Al 3.18, 3 In 3.36, 6 Y 3.38
2 Al 0.6667 0.3333 0.3326  3 In 3.01, 3 Y 3.18
3 In 0.3333 0.6667 0.6374  3 Al 3.01, 3 Y 3.36

Summary:
* formation energy from the elements: -0.03 eV/atom
* space-group type: No. 156

***

Entry 11:
The following is a PBE-GGA calculation of crystalline Y6AlIn2 at its relaxed geometry, from Alexandria.

Cell lengths 8.7996, 8.7996, 3.8384 Å; angles 90.00, 90.00, 120.00 degrees
With the nearest neighbours (Å) after each atom.
Sites, in units of the cell vectors:
1 Y 0.0000 0.2734 0.0000  2 Al 3.08, 2 In 3.23
2 Y 0.0000 0.6154 0.5000  4 In 3.34, 1 Al 3.38, 6 Y 3.57-3.58
3 Y 0.2734 0.0000 0.0000  2 Al 3.08, 2 In 3.23
4 Y 0.3846 0.3846 0.5000  4 In 3.34, 1 Al 3.38, 6 Y 3.57-3.58
5 Y 0.6154 0.0000 0.5000  4 In 3.34, 1 Al 3.38, 6 Y 3.57-3.58
6 Y 0.7266 0.7266 0.0000  2 Al 3.08, 2 In 3.23
7 Al 0.0000 0.0000 0.5000  9 Y 3.08-3.38
8 In 0.3333 0.6667 0.0000  9 Y 3.23-3.34
9 In 0.6667 0.3333 0.0000  9 Y 3.23-3.34

Summary:
* formation energy from the elements: -0.34 eV/atom
* space-group type: No. 189

***

Entry 12:
The following is a PBE-GGA calculation of crystalline YAlIn at its relaxed geometry, from Alexandria.

Cell lengths 4.9689, 4.9689, 4.9689 Å; angles 60.00, 60.00, 60.00 degrees
With the nearest neighbours (Å) after each atom.
Sites, in units of the cell vectors:
1 Y 0.0000 0.0000 0.0000  4 In 3.04, 4 Al 3.04
2 Al 0.7500 0.7500 0.7500  4 Y 3.04
3 In 0.2500 0.2500 0.2500  4 Y 3.04

Summary:
* formation energy from the elements: 0.11 eV/atom
* space-group type: No. 216

***

Entry 13:
The following is a PBE-GGA calculation of crystalline Y4Al3In at its relaxed geometry, from Alexandria.

Cell lengths 3.6125, 3.6125, 14.8786 Å; angles 90.00, 90.00, 90.00 degrees
With the nearest neighbours (Å) after each atom.
Sites, in units of the cell vectors:
1 Y 0.0000 0.0000 0.1204  8 Al 3.12-3.13
2 Y 0.0000 0.0000 0.3644  4 Al 3.13, 4 In 3.26
3 Y 0.0000 0.0000 0.6357  4 Al 3.13, 4 In 3.26
4 Y 0.0000 0.0000 0.8796  8 Al 3.12-3.13
5 Al 0.5000 0.5000 0.0000  8 Y 3.12
6 Al 0.5000 0.5000 0.2423  8 Y 3.13
7 Al 0.5000 0.5000 0.7577  8 Y 3.13
8 In 0.5000 0.5000 0.5000  8 Y 3.26, 4 In 3.61

Summary:
* formation energy from the elements: -0.43 eV/atom
* space-group type: No. 123

***

Entry 14:
The following is a PBE-GGA calculation of crystalline Y6AlIn5 at its relaxed geometry, from Alexandria.

Cell lengths 8.3725, 8.3725, 7.4682 Å; angles 90.00, 90.00, 143.14 degrees
With the nearest neighbours (Å) after each atom.
Sites, in units of the cell vectors:
1 Y 0.0000 0.0000 0.2448  2 Al 3.22, 6 In 3.23-3.28
2 Y 0.0000 0.0000 0.7552  2 Al 3.22, 6 In 3.23-3.28
3 Y 0.3360 0.6640 0.2476  1 Al 3.19, 7 In 3.22-3.27
4 Y 0.3360 0.6640 0.7524  1 Al 3.19, 7 In 3.22-3.27
5 Y 0.6640 0.3360 0.2476  1 Al 3.19, 7 In 3.22-3.27
6 Y 0.6640 0.3360 0.7524  1 Al 3.19, 7 In 3.22-3.27
7 Al 0.5000 0.5000 0.0000  8 Y 3.19-3.22
8 In 0.1679 0.8321 0.0000  8 Y 3.23-3.25
9 In 0.1678 0.8322 0.5000  8 Y 3.25-3.28
10 In 0.5000 0.5000 0.5000  8 Y 3.22-3.26
11 In 0.8321 0.1679 0.0000  8 Y 3.23-3.25
12 In 0.8322 0.1678 0.5000  8 Y 3.25-3.28

Summary:
* formation energy from the elements: -0.48 eV/atom
* space-group type: No. 65

***

Entry 15:
The following is a PBE-GGA calculation of crystalline YAl3In at its relaxed geometry, from Alexandria.

Cell lengths 5.1437, 5.1437, 5.1437 Å; angles 90.00, 90.00, 90.00 degrees
With the nearest neighbours (Å) after each atom.
Sites, in units of the cell vectors:
1 Y 0.0000 0.0000 0.0000  12 Al 3.64
2 Al 0.0000 0.5000 0.5000  2 In 2.57
3 Al 0.5000 0.0000 0.5000  2 In 2.57
4 Al 0.5000 0.5000 0.0000  2 In 2.57
5 In 0.5000 0.5000 0.5000  6 Al 2.57

Summary:
* polymorph energy (0 for the lowest one): 0 meV/atom
* formation energy from the elements: 0.59 eV/atom
* space-group type: No. 221

***

Entry 16:
The following is a PBE-GGA calculation of crystalline YAlIn at its relaxed geometry, from Alexandria.

Cell lengths 4.7516, 4.7516, 3.5451 Å; angles 90.00, 90.00, 120.00 degrees
With the nearest neighbours (Å) after each atom.
Sites, in units of the cell vectors:
1 Y 0.0000 0.0000 0.0000  6 In 3.27, 6 Al 3.27, 2 Y 3.55
2 Al 0.3333 0.6667 0.5000  3 In 2.74
3 In 0.6667 0.3333 0.5000  3 Al 2.74

Summary:
* formation energy from the elements: -0.44 eV/atom
* space-group type: No. 187

***

Entry 17:
The following is a PBE-GGA calculation of crystalline Y4AlIn at its relaxed geometry, from Alexandria.

Cell lengths 6.2679, 6.2679, 6.2679 Å; angles 60.00, 60.00, 60.00 degrees
With the nearest neighbours (Å) after each atom.
Sites, in units of the cell vectors:
1 Y 0.1248 0.1248 0.1248  6 Y 3.13-3.14
2 Y 0.1248 0.1248 0.6257  6 Y 3.13-3.14
3 Y 0.1248 0.6257 0.1248  6 Y 3.13-3.14
4 Y 0.6257 0.1248 0.1248  6 Y 3.13-3.14
5 Al 0.7500 0.7500 0.7500  12 Y 3.67, 4 In 3.84
6 In 0.5000 0.5000 0.5000  12 Y 3.68, 4 Al 3.84

Summary:
* polymorph energy (0 for the lowest one): 386 meV/atom
* formation energy from the elements: 0.28 eV/atom
* space-group type: No. 216

***

Entry 18:
The following is a PBE-GGA calculation of crystalline Y2AlIn4 at its relaxed geometry, from Alexandria.

Cell lengths 6.2631, 6.2631, 6.4149 Å; angles 119.04, 119.04, 90.11 degrees
With the nearest neighbours (Å) after each atom.
Sites, in units of the cell vectors:
1 Y 0.0000 0.5000 0.0000  2 Al 3.13, 8 In 3.21-3.22
2 Y 0.5000 0.0000 0.0000  2 Al 3.13, 8 In 3.21-3.22
3 Al 0.0000 0.0000 0.0000  4 Y 3.13, 8 In 3.21-3.22
4 In 0.0000 0.0000 0.5000  4 In 3.13, 2 Al 3.21, 4 Y 3.22
5 In 0.0000 0.5000 0.5000  4 In 3.13, 4 Y 3.21-3.22, 2 Al 3.22
6 In 0.5000 0.0000 0.5000  4 In 3.13, 4 Y 3.21-3.22, 2 Al 3.22
7 In 0.5000 0.5000 0.5000  4 In 3.13, 4 Y 3.22, 2 Al 3.22

Summary:
* formation energy from the elements: -0.31 eV/atom
* space-group type: No. 12

***

Entry 19:
The following is a PBE-GGA calculation of crystalline Y3Al2In at its relaxed geometry, from Alexandria.

Cell lengths 3.6163, 3.6163, 11.2612 Å; angles 90.00, 90.00, 90.00 degrees
With the nearest neighbours (Å) after each atom.
Sites, in units of the cell vectors:
1 Y 0.0000 0.0000 0.0000  8 Al 3.13
2 Y 0.0000 0.0000 0.3218  4 Al 3.13, 4 In 3.25
3 Y 0.0000 0.0000 0.6782  4 Al 3.13, 4 In 3.25
4 Al 0.5000 0.5000 0.1607  8 Y 3.13
5 Al 0.5000 0.5000 0.8393  8 Y 3.13
6 In 0.5000 0.5000 0.5000  8 Y 3.25, 4 In 3.62

Summary:
* formation energy from the elements: -0.44 eV/atom
* space-group type: No. 123

***

Entry 20:
The following is a PBE-GGA calculation of crystalline Y4AlIn at its relaxed geometry, from Alexandria.

Cell lengths 8.9070, 8.9070, 8.9070 Å; angles 33.44, 33.44, 33.44 degrees
With the nearest neighbours (Å) after each atom.
Sites, in units of the cell vectors:
1 Y 0.1215 0.1215 0.1215  1 Al 3.06, 3 In 3.17
2 Y 0.3717 0.3717 0.3717  3 Al 3.11, 1 In 3.23
3 Y 0.6283 0.6283 0.6283  3 Al 3.11, 1 In 3.23
4 Y 0.8785 0.8785 0.8785  1 Al 3.06, 3 In 3.17
5 Al 0.0000 0.0000 0.0000  8 Y 3.06-3.11
6 In 0.5000 0.5000 0.5000  8 Y 3.17-3.23

Summary:
* polymorph energy (0 for the lowest one): 0 meV/atom
* formation energy from the elements: -0.10 eV/atom
* space-group type: No. 166